A plane-wave DFT calculation with PBE with a Hubbard U was carried out for TaVHgO6 after structural relaxation.

The calculated total energy is -7.085 eV per atom. The total moment comes out at 1.54 Bohr magnetons per cell. The value obtained for the density of states at the Fermi level is 23.01 states/eV per cell.

Geometry as CIF:
```
data_TaVHgO6
_space_group_name_H-M_alt 'I m m a'
_space_group_IT_number 74
_space_group_name_Hall '-I 2b 2'
_cell_length_a 7.072
_cell_length_b 7.463
_cell_length_c 10.292
_cell_angle_alpha 90.00
_cell_angle_beta 90.00
_cell_angle_gamma 90.00
loop_
_atom_site_label
_atom_site_type_symbol
_atom_site_fract_x
_atom_site_fract_y
_atom_site_fract_z
_atom_site_occupancy
Ta1 Ta 0.000 0.000 0.000 1
V1 V 0.250 0.250 0.250 1
Hg1 Hg 0.000 0.250 0.700 1
O1 O 0.000 0.250 0.301 1
O2 O 0.000 0.250 0.920 1
O3 O 0.195 0.069 0.127 1
```